Record 1
# EuGd2Sc (PBE-GGA, relaxed)
data_EuGd2Sc
_chemical_formula_sum 'Eu1 Gd2 Sc1'
_cell_length_a 5.011
_cell_length_b 5.011
_cell_length_c 5.007
_cell_angle_alpha 90.00
_cell_angle_beta 90.00
_cell_angle_gamma 90.00
_symmetry_space_group_name_H-M 'P 4/m m m'
_symmetry_Int_Tables_number 123
_symmetry_space_group_name_Hall '-P 4 2'
loop_
_atom_site_label
_atom_site_type_symbol
_atom_site_fract_x
_atom_site_fract_y
_atom_site_fract_z
Eu1 Eu 0.000 0.000 0.000
Gd1 Gd 0.000 0.500 0.500
Sc1 Sc 0.500 0.500 0.000
# Relative energy among the computed polymorphs: 6.1 kJ per mole of atoms
# Uncorrected energy: -44.2 eV for the cell shown
# E_form: 0.130 eV/atom
# Size of the total moment: 1.96 μB/atom

Record 2
# Li2OsPb (PBE-GGA, relaxed)
data_Li2OsPb
_chemical_formula_sum 'Li4 Os2 Pb2'
_cell_length_a 9.358
_cell_length_b 2.796
_cell_length_c 5.272
_cell_angle_alpha 90.00
_cell_angle_beta 94.90
_cell_angle_gamma 90.00
_symmetry_space_group_name_H-M 'C 1 m 1'
_symmetry_Int_Tables_number 8
loop_
_symmetry_equiv_pos_as_xyz
'x,y,z'
'x,-y,z'
'x+1/2,y+1/2,z'
'x+1/2,-y+1/2,z'
loop_
_atom_site_label
_atom_site_type_symbol
_atom_site_fract_x
_atom_site_fract_y
_atom_site_fract_z
Li1 Li 0.000 0.000 0.000
Li2 Li 0.238 0.000 0.757
Os1 Os 0.498 0.000 0.535
Pb1 Pb 0.250 0.500 0.271
# Uncorrected energy: -34.8 eV for the cell shown
# E_form: 0.337 eV/atom
# Size of the total moment: 0.00 μB/atom

Record 3
# SmHo3Rh4 (PBE-GGA, relaxed)
data_SmHo3Rh4
_chemical_formula_sum 'Sm1 Ho3 Rh4'
_cell_length_a 4.886
_cell_length_b 4.886
_cell_length_c 6.779
_cell_angle_alpha 90.00
_cell_angle_beta 90.00
_cell_angle_gamma 90.00
_symmetry_space_group_name_H-M 'P 4/m m m'
_symmetry_Int_Tables_number 123
_symmetry_space_group_name_Hall '-P 4 2'
loop_
_atom_site_label
_atom_site_type_symbol
_atom_site_fract_x
_atom_site_fract_y
_atom_site_fract_z
Sm1 Sm 0.000 0.000 0.000
Ho1 Ho 0.000 0.000 0.500
Ho2 Ho 0.500 0.500 0.000
Ho3 Ho 0.500 0.500 0.500
Rh1 Rh 0.000 0.500 0.254
# Uncorrected energy: -54.7 eV for the cell shown
# E_form: -0.853 eV/atom
# Size of the total moment: 0.00 μB/atom

Record 4
# LiScSi4 (PBE-GGA, relaxed)
data_LiScSi4
_chemical_formula_sum 'Li4 Sc4 Si16'
_cell_length_a 7.137
_cell_length_b 7.137
_cell_length_c 7.137
_cell_angle_alpha 90.00
_cell_angle_beta 90.00
_cell_angle_gamma 90.00
_symmetry_space_group_name_H-M 'F -4 3 m'
_symmetry_Int_Tables_number 216
_symmetry_space_group_name_Hall 'F -4 2 3'
loop_
_atom_site_label
_atom_site_type_symbol
_atom_site_fract_x
_atom_site_fract_y
_atom_site_fract_z
Li1 Li 0.000 0.000 0.000
Sc1 Sc 0.250 0.250 0.750
Si1 Si 0.126 0.126 0.374
# Raw formation energy: -0.202 eV per atom
# Uncorrected energy: -124.6 eV for the cell shown
# Size of the total moment: 0.00 μB/atom

Record 5
# Ce2NiP3 (PBE-GGA, relaxed)
data_Ce2NiP3
_chemical_formula_sum 'Ce4 Ni2 P6'
_cell_length_a 3.927
_cell_length_b 5.969
_cell_length_c 10.454
_cell_angle_alpha 90.00
_cell_angle_beta 90.00
_cell_angle_gamma 90.00
_symmetry_space_group_name_H-M 'I m m m'
_symmetry_Int_Tables_number 71
_symmetry_space_group_name_Hall '-I 2 2'
loop_
_atom_site_label
_atom_site_type_symbol
_atom_site_fract_x
_atom_site_fract_y
_atom_site_fract_z
Ce1 Ce 0.000 0.000 0.186
Ni1 Ni 0.000 0.000 0.500
P1 P 0.000 0.500 0.120
P2 P 0.000 0.500 0.500
# Relative energy among the computed polymorphs: 17.3 kJ per mole of atoms
# Uncorrected energy: -78.1 eV for the cell shown
# E_form: -0.866 eV/atom
# Size of the total moment: 0.21 μB/atom

Record 6
# CoTe2As (PBE-GGA, relaxed)
data_CoTe2As
_chemical_formula_sum 'Co1 Te2 As1'
_cell_length_a 3.761
_cell_length_b 3.920
_cell_length_c 7.923
_cell_angle_alpha 90.00
_cell_angle_beta 90.00
_cell_angle_gamma 90.00
_symmetry_space_group_name_H-M 'P m m m'
_symmetry_Int_Tables_number 47
loop_
_symmetry_equiv_pos_as_xyz
'x,y,z'
'-x,-y,-z'
'-x,-y,z'
'x,y,-z'
'x,-y,-z'
'-x,y,z'
'-x,y,-z'
'x,-y,z'
loop_
_atom_site_label
_atom_site_type_symbol
_atom_site_fract_x
_atom_site_fract_y
_atom_site_fract_z
Co1 Co 0.000 0.000 0.000
Te1 Te 0.000 0.500 0.500
Te2 Te 0.500 0.500 0.000
As1 As 0.500 0.000 0.500
# Raw formation energy: 0.608 eV per atom
# Uncorrected energy: -15.6 eV for the cell shown
# Size of the total moment: 0.58 μB/atom

Record 7
# Mg2AlW (PBE-GGA, relaxed)
data_Mg2AlW
_chemical_formula_sum 'Mg4 Al2 W2'
_cell_length_a 10.529
_cell_length_b 2.987
_cell_length_c 4.702
_cell_angle_alpha 90.00
_cell_angle_beta 110.90
_cell_angle_gamma 90.00
_symmetry_space_group_name_H-M 'C 1 2/m 1'
_symmetry_Int_Tables_number 12
loop_
_symmetry_equiv_pos_as_xyz
'x,y,z'
'-x,-y,-z'
'-x,y,-z'
'x,-y,z'
'x+1/2,y+1/2,z'
'-x+1/2,-y+1/2,-z'
'-x+1/2,y+1/2,-z'
'x+1/2,-y+1/2,z'
loop_
_atom_site_label
_atom_site_type_symbol
_atom_site_fract_x
_atom_site_fract_y
_atom_site_fract_z
Mg1 Mg 0.249 0.000 0.246
Al1 Al 0.000 0.000 0.500
W1 W 0.000 0.500 0.000
# Uncorrected energy: -37.9 eV for the cell shown
# E_form: 0.232 eV/atom
# Size of the total moment: 0.00 μB/atom

Record 8
# RbHfMo3 (PBE-GGA, relaxed)
data_RbHfMo3
_chemical_formula_sum 'Rb1 Hf1 Mo3'
_cell_length_a 4.688
_cell_length_b 4.688
_cell_length_c 4.688
_cell_angle_alpha 90.00
_cell_angle_beta 90.00
_cell_angle_gamma 90.00
_symmetry_space_group_name_H-M 'P m -3 m'
_symmetry_Int_Tables_number 221
_symmetry_space_group_name_Hall '-P 4 2 3'
loop_
_atom_site_label
_atom_site_type_symbol
_atom_site_fract_x
_atom_site_fract_y
_atom_site_fract_z
Rb1 Rb 0.000 0.000 0.000
Hf1 Hf 0.500 0.500 0.500
Mo1 Mo 0.000 0.000 0.500
# Relative energy among the computed polymorphs: 67.9 kJ per mole of atoms
# Uncorrected energy: -28.9 eV for the cell shown
# E_form: 2.896 eV/atom
# Size of the total moment: 0.01 μB/atom

Record 9
# PmGdDy2 (PBE-GGA, relaxed)
data_PmGdDy2
_chemical_formula_sum 'Pm3 Gd3 Dy6'
_cell_length_a 3.5801
_cell_length_b 3.5801
_cell_length_c 34.9954
_cell_angle_alpha 90.00
_cell_angle_beta 90.00
_cell_angle_gamma 120.00
_symmetry_space_group_name_H-M 'R -3 m'
_symmetry_Int_Tables_number 166
_symmetry_space_group_name_Hall '-R 3 2"'
loop_
_atom_site_label
_atom_site_type_symbol
_atom_site_fract_x
_atom_site_fract_y
_atom_site_fract_z
Pm1 Pm 0.0000 0.0000 0.0000
Gd1 Gd 0.0000 0.0000 0.5000
Dy1 Dy 0.0000 0.0000 0.2497
# Relative energy among the computed polymorphs: 0.4 kJ per mole of atoms
# Uncorrected energy: -83.9 eV for the cell shown
# E_form: 0.020 eV/atom
# Size of the total moment: 1.82 μB/atom

Record 10
# Cu5Te2Se2 (PBE-GGA, relaxed)
data_Cu5Te2Se2
_chemical_formula_sum 'Cu10 Te4 Se4'
_cell_length_a 13.903
_cell_length_b 3.872
_cell_length_c 6.865
_cell_angle_alpha 90.00
_cell_angle_beta 100.17
_cell_angle_gamma 90.00
_symmetry_space_group_name_H-M 'C 1 2/m 1'
_symmetry_Int_Tables_number 12
loop_
_symmetry_equiv_pos_as_xyz
'x,y,z'
'-x,-y,-z'
'-x,y,-z'
'x,-y,z'
'x+1/2,y+1/2,z'
'-x+1/2,-y+1/2,-z'
'-x+1/2,y+1/2,-z'
'x+1/2,-y+1/2,z'
loop_
_atom_site_label
_atom_site_type_symbol
_atom_site_fract_x
_atom_site_fract_y
_atom_site_fract_z
Cu1 Cu 0.000 0.000 0.000
Cu2 Cu 0.194 0.000 0.539
Cu3 Cu 0.249 0.500 0.811
Te1 Te 0.111 0.500 0.312
Se1 Se 0.141 0.000 0.863
# Raw formation energy: -0.005 eV per atom
# Relative energy among the computed polymorphs: 4.0 kJ per mole of atoms
# Uncorrected energy: -67.6 eV for the cell shown
# Size of the total moment: 0.00 μB/atom

Record 11
# Pr6P2SN3 (PBE-GGA, relaxed)
data_Pr6P2SN3
_chemical_formula_sum 'Pr12 P4 S2 N6'
_cell_length_a 17.227
_cell_length_b 3.896
_cell_length_c 7.940
_cell_angle_alpha 90.00
_cell_angle_beta 104.72
_cell_angle_gamma 90.00
_symmetry_space_group_name_H-M 'C 1 2/m 1'
_symmetry_Int_Tables_number 12
loop_
_symmetry_equiv_pos_as_xyz
'x,y,z'
'-x,-y,-z'
'-x,y,-z'
'x,-y,z'
'x+1/2,y+1/2,z'
'-x+1/2,-y+1/2,-z'
'-x+1/2,y+1/2,-z'
'x+1/2,-y+1/2,z'
loop_
_atom_site_label
_atom_site_type_symbol
_atom_site_fract_x
_atom_site_fract_y
_atom_site_fract_z
Pr1 Pr 0.007 0.000 0.230
Pr2 Pr 0.161 0.500 0.098
Pr3 Pr 0.174 0.500 0.567
P1 P 0.165 0.000 0.831
S1 S 0.000 0.500 0.500
N1 N 0.000 0.500 0.000
N2 N 0.166 0.000 0.336
# Raw formation energy: -1.435 eV per atom
# Uncorrected energy: -171.6 eV for the cell shown
# Size of the total moment: 0.00 μB/atom

Record 12
# TbDyHo2Er6 (PBE-GGA, relaxed)
data_TbDyHo2Er6
_chemical_formula_sum 'Tb4 Dy4 Ho8 Er24'
_cell_length_a 8.945
_cell_length_b 14.858
_cell_length_c 9.456
_cell_angle_alpha 90.00
_cell_angle_beta 97.71
_cell_angle_gamma 90.00
_symmetry_space_group_name_H-M 'C 1 2/c 1'
_symmetry_Int_Tables_number 15
loop_
_symmetry_equiv_pos_as_xyz
'x,y,z'
'-x,-y,-z'
'-x,y,-z+1/2'
'x,-y,z+1/2'
'x+1/2,y+1/2,z'
'-x+1/2,-y+1/2,-z'
'-x+1/2,y+1/2,-z+1/2'
'x+1/2,-y+1/2,z+1/2'
loop_
_atom_site_label
_atom_site_type_symbol
_atom_site_fract_x
_atom_site_fract_y
_atom_site_fract_z
Tb1 Tb 0.000 0.023 0.250
Dy1 Dy 0.000 0.409 0.750
Ho1 Ho 0.249 0.053 0.544
Er1 Er 0.063 0.187 0.943
Er2 Er 0.102 0.393 0.120
Er3 Er 0.204 0.225 0.316
# Uncorrected energy: -178.2 eV for the cell shown
# E_form: 0.123 eV/atom
# Size of the total moment: 0.00 μB/atom